1.
## KAu3I (PBE)

Data for a relaxed KAu3I crystal.

abc: 5.6121 5.6121 5.6121
angles: 90.00 90.00 90.00
Space group Pm-3m (No. 221)
Symmetry-distinct sites (fractional):
K1 0.0000 0.0000 0.0000 x1
Au1 0.0000 0.5000 0.5000 x3
I1 0.5000 0.5000 0.5000 x1

Output
The magnetization is 0.000 μB per atom. As for the density of states at the Fermi level: 2.5 states/eV per cell.



2.
## KAu3I (PBE)

Data for a relaxed KAu3I crystal.

abc: 5.6809 5.6809 5.6809
angles: 90.00 90.00 90.00
Space group Pm-3m (No. 221)
Symmetry-distinct sites (fractional):
K1 0.0000 0.0000 0.0000 x1
Au1 0.0000 0.0000 0.5000 x3
I1 0.5000 0.5000 0.5000 x1

Output
The magnetization is 0.000 μB per atom. As for the density of states at the Fermi level: 10.2 states/eV per cell.



Short version: 2 is the least stable of them.



1.
## KAuI6 (PBE)

Data for a relaxed KAuI6 crystal.

abc: 5.2107 8.2628 9.1343
angles: 93.00 103.17 92.90
Space group P-1 (No. 2)
Symmetry-distinct sites (fractional):
K1 0.0000 0.0000 0.0000 x1
Au1 0.5000 0.5000 0.0000 x1
I1 0.1979 0.1070 0.5919 x2
I2 0.2919 0.6542 0.2073 x2
I3 0.4128 0.7517 0.8230 x2

Output
The magnetization is 0.000 μB per atom.



2.
## KAuI6 (PBE)

Data for a relaxed KAuI6 crystal.

abc: 5.1522 9.3019 9.5954
angles: 65.49 83.27 79.62
Space group P-1 (No. 2)
Symmetry-distinct sites (fractional):
K1 0.0000 0.0000 0.0000 x1
Au1 0.0000 0.0000 0.5000 x1
I1 0.2325 0.2507 0.3774 x2
I2 0.3403 0.2693 0.6737 x2
I3 0.4170 0.2867 0.9608 x2

Output
The magnetization is 0.000 μB per atom.



Short version: 2 is the least stable of them.



1.
## KAuIO2 (PBE)

Data for a relaxed KAuIO2 crystal.

abc: 4.4033 4.4033 5.6183
angles: 90.00 90.00 90.00
Space group P4/mmm (No. 123)
Symmetry-distinct sites (fractional):
K1 0.0000 0.0000 0.0000 x1
Au1 0.5000 0.5000 0.5000 x1
I1 0.5000 0.5000 0.0000 x1
O1 0.0000 0.5000 0.5000 x2

Output
The magnetization is 0.081 μB per atom. As for the density of states at the Fermi level: 7.9 states/eV per cell.



2.
## KAuIO2 (PBE)

Data for a relaxed KAuIO2 crystal.

abc: 4.5425 4.5425 7.5779
angles: 90.00 90.00 90.00
Space group P4/mmm (No. 123)
Symmetry-distinct sites (fractional):
K1 0.0000 0.0000 0.0000 x1
Au1 0.5000 0.5000 0.5000 x1
I1 0.0000 0.0000 0.5000 x1
O1 0.0000 0.5000 0.0000 x2

Output
The magnetization is 0.594 μB per atom. As for the density of states at the Fermi level: 4.2 states/eV per cell.



Short version: 2 is the least stable of them.



1.
## KSb2AuI (PBE)

Data for a relaxed KSb2AuI crystal.

abc: 5.2592 5.2592 8.1578
angles: 90.00 90.00 90.00
Space group P4/mmm (No. 123)
Symmetry-distinct sites (fractional):
K1 0.0000 0.0000 0.0000 x1
Sb1 0.0000 0.5000 0.5000 x2
Au1 0.5000 0.5000 0.5000 x1
I1 0.5000 0.5000 0.0000 x1

Output
The magnetization is 0.093 μB per atom. As for the density of states at the Fermi level: 4.1 states/eV per cell.



2.
## KSb2AuI (PBE)

Data for a relaxed KSb2AuI crystal.

abc: 6.1751 6.1751 6.0311
angles: 90.00 90.00 90.00
Space group P4/mmm (No. 123)
Symmetry-distinct sites (fractional):
K1 0.0000 0.0000 0.0000 x1
Sb1 0.0000 0.5000 0.0000 x2
Au1 0.5000 0.5000 0.5000 x1
I1 0.0000 0.0000 0.5000 x1

Output
The magnetization is 0.397 μB per atom. As for the density of states at the Fermi level: 7.0 states/eV per cell.



Short version: 2 is the least stable of them.



1.
## KTe2AuI (PBE)

Data for a relaxed KTe2AuI crystal.

abc: 6.5035 6.5035 6.2940
angles: 90.00 90.00 90.00
Space group P4/mmm (No. 123)
Symmetry-distinct sites (fractional):
K1 0.0000 0.0000 0.0000 x1
Te1 0.0000 0.5000 0.0000 x2
Au1 0.5000 0.5000 0.5000 x1
I1 0.0000 0.0000 0.5000 x1

Output
The magnetization is 0.637 μB per atom. As for the density of states at the Fermi level: 4.3 states/eV per cell.



2.
## KTe2AuI (PBE)

Data for a relaxed KTe2AuI crystal.

abc: 5.5352 5.5352 5.9567
angles: 90.00 90.00 90.00
Space group P4/mmm (No. 123)
Symmetry-distinct sites (fractional):
K1 0.0000 0.0000 0.0000 x1
Te1 0.0000 0.5000 0.5000 x2
Au1 0.5000 0.5000 0.5000 x1
I1 0.5000 0.5000 0.0000 x1

Output
The magnetization is 0.000 μB per atom. As for the density of states at the Fermi level: 6.5 states/eV per cell.



Short version: 1 is the least stable of them.



1.
## La2AuI2 (PBE)

Data for a relaxed La2AuI2 crystal.

abc: 4.3734 4.3734 35.5089
angles: 90.00 90.00 120.00
Space group R-3m (No. 166, hexagonal axes)
Symmetry-distinct sites (fractional):
La1 0.0000 0.0000 0.1161 x6
Au1 0.0000 0.0000 0.5000 x3
I1 0.0000 0.0000 0.2779 x6

Output
The magnetization is 0.000 μB per atom. As for the density of states at the Fermi level: 13.9 states/eV per cell.



2.
## La2AuI2 (PBE)

Data for a relaxed La2AuI2 crystal.

abc: 8.2355 8.2355 4.8489
angles: 90.00 90.00 90.00
Space group P4/mbm (No. 127)
Symmetry-distinct sites (fractional):
La1 0.1604 0.3396 0.0000 x4
Au1 0.0000 0.0000 0.0000 x2
I1 0.1503 0.6503 0.5000 x4

Output
The magnetization is 0.000 μB per atom. As for the density of states at the Fermi level: 10.2 states/eV per cell.



Short version: 2 is the least stable of them.